Material: PmHfSe
Method: DFT, PBE
State: optimized geometry

Cell lengths 5.248, 3.539, 8.777 Å; angles 101.63, 107.40, 90.00 degrees
Element x y z (fractional)
1 Pm 0.667 0.167 0.334
2 Pm 0.333 0.833 0.666
3 Hf 0.749 0.500 0.000
4 Hf 0.251 0.500 0.000
5 Se 0.154 0.654 0.308
6 Se 0.846 0.346 0.692

Values from the calculation:
- raw formation energy (meV/atom) = -633
- total magnetic moment (μB/atom) = 0.000
- raw total energy (eV for the cell shown) = -40.17